No. 1
A plane-wave DFT calculation with GGA-PBE was carried out for crystalline SrSnTe2 at its relaxed geometry.

a b c (Å): 8.1143 8.1143 8.0465
angles (deg): 99.50 99.50 33.27
Sites, in units of the cell vectors:
Sr (0.0000, 0.5000, 0.0000)
Sr (0.5000, 0.0000, 0.5000)
Sn (0.2488, 0.7512, 0.7500)
Sn (0.7512, 0.2488, 0.2500)
Te (0.1305, 0.6300, 0.3768)
Te (0.3700, 0.8695, 0.1232)
Te (0.6300, 0.1305, 0.8768)
Te (0.8695, 0.3700, 0.6232)

Calculated values
Volume (Å³ per atom): 35.78
E (eV per cell): -31.70

***

No. 2
A plane-wave DFT calculation with GGA-PBE was carried out for crystalline SrSnTe2 at its relaxed geometry.

a b c (Å): 9.1624 9.1624 9.1624
angles (deg): 133.96 133.96 67.16
Sites, in units of the cell vectors:
Sr (0.0000, 0.0000, 0.0000)
Sr (0.7500, 0.2500, 0.5000)
Sn (0.2500, 0.7500, 0.5000)
Sn (0.5000, 0.5000, 0.0000)
Te (0.1420, 0.6250, 0.0170)
Te (0.3750, 0.3920, 0.5170)
Te (0.6080, 0.1250, 0.9830)
Te (0.8750, 0.8580, 0.4830)

Calculated values
Fermi-level density of states (states/eV/cell): 0.0
Volume (Å³ per atom): 49.01
E (eV per cell): -29.95

***

No. 3
A plane-wave DFT calculation with GGA-PBE was carried out for crystalline Sr2SnTe at its relaxed geometry.

a b c (Å): 10.9881 10.9881 10.9881
angles (deg): 23.30 23.30 23.30
Sites, in units of the cell vectors:
Sr (0.1018, 0.1018, 0.1018)
Sr (0.8982, 0.8982, 0.8982)
Sn (0.0000, 0.0000, 0.0000)
Te (0.5000, 0.5000, 0.5000)

Calculated values
Polymorph energy (0 for the lowest one) (eV per atom): 0.215
Fermi-level density of states (states/eV/cell): 2.4
Volume (Å³ per atom): 45.55
E (eV per cell): -12.90

***

No. 4
A plane-wave DFT calculation with GGA-PBE was carried out for crystalline Sr2SnTe at its relaxed geometry.

a b c (Å): 5.7880 5.7880 5.7880
angles (deg): 60.00 60.00 60.00
Sites, in units of the cell vectors:
Sr (0.2500, 0.2500, 0.2500)
Sr (0.7500, 0.7500, 0.7500)
Sn (0.0000, 0.0000, 0.0000)
Te (0.5000, 0.5000, 0.5000)

Calculated values
Polymorph energy (0 for the lowest one) (eV per atom): 0.000
Fermi-level density of states (states/eV/cell): 4.3
Volume (Å³ per atom): 34.28
E (eV per cell): -13.76

***

No. 5
A plane-wave DFT calculation with GGA-PBE was carried out for crystalline SrThSn6 at its relaxed geometry.

a b c (Å): 4.7841 4.7841 9.7080
angles (deg): 90.00 90.00 90.00
Sites, in units of the cell vectors:
Sr (0.0000, 0.0000, 0.0000)
Th (0.0000, 0.0000, 0.5000)
Sn (0.0000, 0.5000, 0.2534)
Sn (0.0000, 0.5000, 0.7466)
Sn (0.5000, 0.0000, 0.2534)
Sn (0.5000, 0.0000, 0.7466)
Sn (0.5000, 0.5000, 0.0000)
Sn (0.5000, 0.5000, 0.5000)

Calculated values
Fermi-level density of states (states/eV/cell): 5.0
Volume (Å³ per atom): 27.77
E (eV per cell): -36.44

***

No. 6
A plane-wave DFT calculation with GGA-PBE was carried out for crystalline SrThSn2 at its relaxed geometry.

a b c (Å): 3.6085 3.6085 9.2787
angles (deg): 90.00 90.00 90.00
Sites, in units of the cell vectors:
Sr (0.0000, 0.0000, 0.0000)
Th (0.0000, 0.0000, 0.5000)
Sn (0.5000, 0.5000, 0.2573)
Sn (0.5000, 0.5000, 0.7427)

Calculated values
Fermi-level density of states (states/eV/cell): 3.7
Volume (Å³ per atom): 30.21
E (eV per cell): -19.27

***

Look up the E of the fourth one.
-13.76 eV per cell